! Pr14SmSn PBE-GGA relaxed; values from VASP
! ρ: 6.69 g/cm³
! formation energy: -0.08 eV/atom
! E_tot: -76.84 eV per cell
&SYSTEM
  ibrav = 0, nat = 16, ntyp = 3
/
ATOMIC_SPECIES
Pr 140.91 Pr.upf
Sm 150.36 Sm.upf
Sn 118.71 Sn.upf
CELL_PARAMETERS angstrom
10.341 0.000 0.000
0.000 5.186 5.187
0.000 -5.186 5.187
ATOMIC_POSITIONS angstrom
Pr 0.000 0.000 0.000
Pr 0.000 2.592 7.777
Pr 0.000 0.000 5.174
Pr 0.000 -2.592 7.777
Pr 2.658 0.000 7.831
Pr 2.666 0.000 2.532
Pr 2.663 -2.651 5.182
Pr 2.663 2.651 5.182
Pr 5.170 -2.591 7.776
Pr 5.170 2.591 7.776
Pr 7.675 0.000 2.532
Pr 7.678 -2.651 5.182
Pr 7.678 2.651 5.182
Pr 7.683 0.000 7.831
Sm 5.170 0.000 5.183
Sn 5.170 0.000 10.364